# 1
V2GaRh8 (PBE, optimized geometry); magnetic moment = 0.000 μB per formula unit; ΔE to the lowest computed polymorph = 0.00 eV/f.u.
1.0
-2.606 1.526 -2.354
-4.333 -0.926 4.195
3.774 5.501 2.501
V Ga Rh
2 1 8
direct
0.774 0.341 0.548 V
0.226 0.659 0.452 V
0.500 0.000 0.000 Ga
0.401 0.533 0.801 Rh
0.680 0.908 0.360 Rh
0.853 0.795 0.707 Rh
0.957 0.274 0.914 Rh
0.147 0.205 0.293 Rh
0.320 0.092 0.640 Rh
0.599 0.467 0.199 Rh
0.043 0.726 0.086 Rh

=====

# 2
VGa2Rh4 (PBE, optimized geometry); magnetic moment = 0.000 μB per formula unit; ΔE to the lowest computed polymorph = 5.57 eV/f.u.
1.0
-1.745 1.516 3.875
1.853 -3.479 2.196
5.166 2.367 4.027
Rh Ga V
4 2 1
direct
0.181 0.181 0.638 Rh
0.819 0.819 0.362 Rh
0.000 0.500 0.000 Rh
0.500 0.000 0.000 Rh
0.380 0.380 0.239 Ga
0.620 0.620 0.761 Ga
0.000 0.000 0.000 V

=====

# 3
V7Ga3Rh (PBE, optimized geometry); magnetic moment = 0.000 μB per formula unit
1.0
-1.019 -2.371 0.422
7.659 -0.704 6.450
-7.175 4.691 9.031
V Ga Rh
14 6 2
direct
0.390 0.779 0.750 V
0.610 0.221 0.250 V
0.535 0.070 0.414 V
0.465 0.930 0.586 V
0.465 0.930 0.914 V
0.535 0.070 0.086 V
0.407 0.814 0.404 V
0.593 0.186 0.596 V
0.281 0.562 0.413 V
0.719 0.438 0.587 V
0.719 0.438 0.913 V
0.281 0.562 0.087 V
0.407 0.814 0.096 V
0.593 0.186 0.904 V
0.152 0.304 0.429 Ga
0.848 0.696 0.571 Ga
0.160 0.320 0.750 Ga
0.840 0.680 0.250 Ga
0.152 0.304 0.071 Ga
0.848 0.696 0.929 Ga
0.979 0.957 0.250 Rh
0.021 0.043 0.750 Rh

=====

# 4
V6GaRh12 (PBE, optimized geometry); magnetic moment = 0.002 μB per formula unit
1.0
7.023 -0.862 -1.033
-1.917 6.811 -1.033
-1.917 -2.233 6.517
V Ga Rh
6 1 12
direct
0.632 0.925 0.412 V
0.588 0.368 0.075 V
0.075 0.588 0.368 V
0.368 0.075 0.588 V
0.412 0.632 0.925 V
0.925 0.412 0.632 V
0.000 0.000 0.000 Ga
0.793 0.670 0.519 Rh
0.519 0.793 0.670 Rh
0.670 0.519 0.793 Rh
0.207 0.330 0.481 Rh
0.481 0.207 0.330 Rh
0.330 0.481 0.207 Rh
0.892 0.832 0.266 Rh
0.168 0.734 0.108 Rh
0.734 0.108 0.168 Rh
0.108 0.168 0.734 Rh
0.832 0.266 0.892 Rh
0.266 0.892 0.832 Rh

=====

# 5
VGa3Rh4 (PBE, optimized geometry); magnetic moment = 1.778 μB per formula unit
1.0
-2.696 0.686 3.274
4.438 -1.296 3.927
2.287 8.283 0.149
Rh Ga V
8 6 2
direct
0.500 0.752 0.000 Rh
0.500 0.752 0.500 Rh
0.500 0.248 0.000 Rh
0.500 0.248 0.500 Rh
0.001 0.752 0.750 Rh
0.999 0.752 0.250 Rh
0.999 0.248 0.250 Rh
0.001 0.248 0.750 Rh
0.000 0.000 0.000 Ga
0.000 0.000 0.500 Ga
0.501 0.000 0.750 Ga
0.499 0.000 0.250 Ga
0.501 0.500 0.750 Ga
0.499 0.500 0.250 Ga
0.000 0.500 0.000 V
0.000 0.500 0.500 V

=====

# 6
V2GaRh (PBE, optimized geometry); magnetic moment = 0.000 μB per formula unit
1.0
-3.500 -3.449 0.064
2.060 -2.029 3.322
-2.662 2.764 3.339
V Ga Rh
4 2 2
direct
0.349 0.750 0.010 V
0.349 0.750 0.490 V
0.651 0.250 0.990 V
0.651 0.250 0.510 V
0.844 0.750 0.250 Ga
0.156 0.250 0.750 Ga
0.145 0.250 0.250 Rh
0.855 0.750 0.750 Rh

=====

# 7
V3GaRh6 (PBE, optimized geometry); magnetic moment = 1.570 μB per formula unit
1.0
-1.724 -0.109 3.968
-5.546 -3.967 -2.519
7.185 -5.502 2.971
V Ga Rh
6 2 12
direct
0.250 0.519 0.365 V
0.750 0.481 0.635 V
0.250 0.392 0.789 V
0.750 0.608 0.211 V
0.250 0.778 0.975 V
0.750 0.222 0.025 V
0.250 0.960 0.586 Ga
0.750 0.040 0.414 Ga
0.250 0.457 0.073 Rh
0.750 0.543 0.927 Rh
0.250 0.158 0.173 Rh
0.750 0.842 0.827 Rh
0.250 0.665 0.666 Rh
0.750 0.335 0.334 Rh
0.250 0.257 0.498 Rh
0.750 0.743 0.502 Rh
0.250 0.836 0.292 Rh
0.750 0.164 0.708 Rh
0.250 0.079 0.868 Rh
0.750 0.921 0.132 Rh

=====

# 8
V15Ga2Rh2 (PBE, optimized geometry); magnetic moment = 0.000 μB per formula unit
1.0
5.001 -4.245 -0.188
5.001 4.245 -0.188
1.644 0.000 6.353
V Ga Rh
15 2 2
direct
0.500 0.000 0.000 V
0.000 0.000 0.500 V
0.000 0.500 0.000 V
0.000 0.300 0.700 V
0.300 0.700 0.000 V
0.700 0.000 0.300 V
0.700 0.300 0.000 V
0.300 0.000 0.700 V
0.000 0.700 0.300 V
0.840 0.375 0.375 V
0.375 0.375 0.840 V
0.375 0.840 0.375 V
0.160 0.625 0.625 V
0.625 0.625 0.160 V
0.625 0.160 0.625 V
0.689 0.689 0.689 Ga
0.311 0.311 0.311 Ga
0.901 0.901 0.901 Rh
0.099 0.099 0.099 Rh

=====

For reference, formation energy from the elements by record: -344 229 20 -661 -454 -133 -410 323 kJ/mol of formula units.